1.
# TbGaBi

Crystalline TbGaBi at its relaxed geometry (PBE, the Alexandria database).

## Properties
* D(E_F): 11.98 states/eV/cell
* energy above the lowest structure with this stoichiometry: 109.6 meV per atom
* volume: 510.1 Å³ per cell
* ΔE_f: -0.23 eV per atom
* E_tot: -4.076 eV per atom

a = 6.7118 Å, b = 6.7118 Å, c = 13.0746 Å
α = 90.00°, β = 90.00°, γ = 120.00°
Space group P6_222 (No. 180)
Symmetry-distinct sites (fractional):
Tb  0.0000  0.5000  0.3831 (multiplicity 6)
Ga  0.2064  0.6032  0.1667 (multiplicity 6)
Bi  0.0000  0.0000  0.1667 (multiplicity 3)
Bi  0.0000  0.5000  0.6667 (multiplicity 3)

---

2.
# Tb5GaBi2

Crystalline Tb5GaBi2 at its relaxed geometry (PBE, the Alexandria database).

## Properties
* D(E_F): 33.99 states/eV/cell
* volume: 961.8 Å³ per cell
* ΔE_f: -0.30 eV per atom
* E_tot: -4.538 eV per atom

a = 5.834 Å, b = 11.558 Å, c = 14.264 Å
α = 90.00°, β = 90.00°, γ = 90.00°
Space group Cmcm (No. 63)
Symmetry-distinct sites (fractional):
Tb  0.000  0.068  0.250 (multiplicity 4)
Tb  0.000  0.124  0.553 (multiplicity 8)
Tb  0.000  0.422  0.604 (multiplicity 8)
Ga  0.000  0.218  0.750 (multiplicity 4)
Bi  0.000  0.300  0.121 (multiplicity 8)

---

3.
# Tb8Ga2Bi

Crystalline Tb8Ga2Bi at its relaxed geometry (PBE, the Alexandria database).

## Properties
* D(E_F): 24.32 states/eV/cell
* volume: 643.6 Å³ per cell
* ΔE_f: -0.31 eV per atom
* E_tot: -4.579 eV per atom

a = 19.038 Å, b = 4.922 Å, c = 7.046 Å
α = 90.00°, β = 102.88°, γ = 90.00°
Space group C2/m (No. 12)
Symmetry-distinct sites (fractional):
Tb  0.032  0.000  0.253 (multiplicity 4)
Tb  0.096  0.500  0.968 (multiplicity 4)
Tb  0.166  0.500  0.474 (multiplicity 4)
Tb  0.210  0.000  0.822 (multiplicity 4)
Ga  0.189  0.000  0.241 (multiplicity 4)
Bi  0.000  0.500  0.500 (multiplicity 2)

---

4.
# Tb8GaBi2

Crystalline Tb8GaBi2 at its relaxed geometry (PBE, the Alexandria database).

## Properties
* D(E_F): 26.15 states/eV/cell
* volume: 655.3 Å³ per cell
* ΔE_f: -0.35 eV per atom
* E_tot: -4.701 eV per atom

a = 18.385 Å, b = 5.112 Å, c = 6.976 Å
α = 90.00°, β = 91.96°, γ = 90.00°
Space group C2/m (No. 12)
Symmetry-distinct sites (fractional):
Tb  0.024  0.000  0.260 (multiplicity 4)
Tb  0.092  0.500  0.938 (multiplicity 4)
Tb  0.155  0.500  0.419 (multiplicity 4)
Tb  0.215  0.000  0.131 (multiplicity 4)
Ga  0.000  0.500  0.500 (multiplicity 2)
Bi  0.169  0.000  0.681 (multiplicity 4)

---

5.
# GaTc2Bi

Crystalline GaTc2Bi at its relaxed geometry (PBE, the Alexandria database).

## Properties
* D(E_F): 33.09 states/eV/cell
* energy above the lowest structure with this stoichiometry: 171.3 meV per atom
* volume: 323.4 Å³ per cell
* ΔE_f: 0.56 eV per atom
* E_tot: -6.349 eV per atom

a = 4.183 Å, b = 4.183 Å, c = 18.483 Å
α = 90.00°, β = 90.00°, γ = 90.00°
Space group I-42d (No. 122)
Symmetry-distinct sites (fractional):
Ga  0.000  0.000  0.000 (multiplicity 4)
Tc  0.155  0.250  0.125 (multiplicity 8)
Bi  0.000  0.000  0.500 (multiplicity 4)

---

6.
# GaTcBi

Crystalline GaTcBi at its relaxed geometry (PBE, the Alexandria database).

## Properties
* D(E_F): 6.56 states/eV/cell
* volume: 265.0 Å³ per cell
* ΔE_f: 0.25 eV per atom
* E_tot: -5.511 eV per atom

a = 14.077 Å, b = 3.298 Å, c = 5.709 Å
α = 90.00°, β = 90.00°, γ = 90.00°
Space group Amm2 (No. 38)
Symmetry-distinct sites (fractional):
Ga  0.000  0.000  0.000 (multiplicity 2)
Ga  0.500  0.000  0.007 (multiplicity 2)
Tc  0.374  0.000  0.340 (multiplicity 4)
Bi  0.229  0.000  0.007 (multiplicity 4)

---

7.
# GaTcBi3

Crystalline GaTcBi3 at its relaxed geometry (PBE, the Alexandria database).

## Properties
* D(E_F): 4.80 states/eV/cell
* energy above the lowest structure with this stoichiometry: 684.6 meV per atom
* volume: 158.1 Å³ per cell
* ΔE_f: 1.25 eV per atom
* E_tot: -3.760 eV per atom

a = 5.407 Å, b = 5.407 Å, c = 5.407 Å
α = 90.00°, β = 90.00°, γ = 90.00°
Space group Pm-3m (No. 221)
Symmetry-distinct sites (fractional):
Ga  0.000  0.000  0.000 (multiplicity 1)
Tc  0.500  0.500  0.500 (multiplicity 1)
Bi  0.000  0.000  0.500 (multiplicity 3)

---

8.
# Ga2TcBi

Crystalline Ga2TcBi at its relaxed geometry (PBE, the Alexandria database).

## Properties
* D(E_F): 15.42 states/eV/cell
* volume: 346.1 Å³ per cell
* ΔE_f: 0.40 eV per atom
* E_tot: -4.676 eV per atom

a = 4.390 Å, b = 4.390 Å, c = 17.959 Å
α = 90.00°, β = 90.00°, γ = 90.00°
Space group I-42d (No. 122)
Symmetry-distinct sites (fractional):
Ga  0.156  0.250  0.125 (multiplicity 8)
Tc  0.000  0.000  0.000 (multiplicity 4)
Bi  0.000  0.000  0.500 (multiplicity 4)

---

9.
# GaTc2Bi

Crystalline GaTc2Bi at its relaxed geometry (PBE, the Alexandria database).

## Properties
* D(E_F): 22.18 states/eV/cell
* energy above the lowest structure with this stoichiometry: 0.0 meV per atom
* volume: 269.9 Å³ per cell
* ΔE_f: 0.39 eV per atom
* E_tot: -6.520 eV per atom

a = 6.462 Å, b = 6.462 Å, c = 6.462 Å
α = 90.00°, β = 90.00°, γ = 90.00°
Space group Fm-3m (No. 225)
Symmetry-distinct sites (fractional):
Ga  0.000  0.000  0.000 (multiplicity 4)
Tc  0.250  0.250  0.250 (multiplicity 8)
Bi  0.000  0.000  0.500 (multiplicity 4)

---

10.
# GaTc3Bi

Crystalline GaTc3Bi at its relaxed geometry (PBE, the Alexandria database).

## Properties
* D(E_F): 8.27 states/eV/cell
* energy above the lowest structure with this stoichiometry: 993.2 meV per atom
* volume: 124.6 Å³ per cell
* ΔE_f: 2.25 eV per atom
* E_tot: -5.347 eV per atom

a = 4.995 Å, b = 4.995 Å, c = 4.995 Å
α = 90.00°, β = 90.00°, γ = 90.00°
Space group Pm-3m (No. 221)
Symmetry-distinct sites (fractional):
Ga  0.000  0.000  0.000 (multiplicity 1)
Tc  0.000  0.500  0.500 (multiplicity 3)
Bi  0.500  0.500  0.500 (multiplicity 1)

---

11.
# GaTcBi3

Crystalline GaTcBi3 at its relaxed geometry (PBE, the Alexandria database).

## Properties
* D(E_F): 5.08 states/eV/cell
* energy above the lowest structure with this stoichiometry: 0.0 meV per atom
* volume: 153.0 Å³ per cell
* ΔE_f: 0.56 eV per atom
* E_tot: -4.445 eV per atom

a = 5.348 Å, b = 5.348 Å, c = 5.348 Å
α = 90.00°, β = 90.00°, γ = 90.00°
Space group Pm-3m (No. 221)
Symmetry-distinct sites (fractional):
Ga  0.000  0.000  0.000 (multiplicity 1)
Tc  0.500  0.500  0.500 (multiplicity 1)
Bi  0.000  0.500  0.500 (multiplicity 3)

---

12.
# GaTc3Bi

Crystalline GaTc3Bi at its relaxed geometry (PBE, the Alexandria database).

## Properties
* D(E_F): 5.42 states/eV/cell
* energy above the lowest structure with this stoichiometry: 0.0 meV per atom
* volume: 99.2 Å³ per cell
* ΔE_f: 1.26 eV per atom
* E_tot: -6.340 eV per atom

a = 4.629 Å, b = 4.629 Å, c = 4.629 Å
α = 90.00°, β = 90.00°, γ = 90.00°
Space group Pm-3m (No. 221)
Symmetry-distinct sites (fractional):
Ga  0.000  0.000  0.000 (multiplicity 1)
Tc  0.000  0.000  0.500 (multiplicity 3)
Bi  0.500  0.500  0.500 (multiplicity 1)

---

13.
# TlGaTc2Bi

Crystalline TlGaTc2Bi at its relaxed geometry (PBE, the Alexandria database).

## Properties
* D(E_F): 5.50 states/eV/cell
* volume: 119.0 Å³ per cell
* ΔE_f: 1.21 eV per atom
* E_tot: -4.788 eV per atom

a = 4.829 Å, b = 4.829 Å, c = 5.106 Å
α = 90.00°, β = 90.00°, γ = 90.00°
Space group P4/mmm (No. 123)
Symmetry-distinct sites (fractional):
Tl  0.000  0.000  0.000 (multiplicity 1)
Ga  0.000  0.000  0.500 (multiplicity 1)
Tc  0.000  0.500  0.500 (multiplicity 2)
Bi  0.500  0.500  0.000 (multiplicity 1)

---

14.
# Ga2BiTe4

Crystalline Ga2BiTe4 at its relaxed geometry (PBE, the Alexandria database).

## Properties
* D(E_F): 3.80 states/eV/cell
* volume: 482.0 Å³ per cell
* E_tot: -3.427 eV per atom

a = 8.377 Å, b = 8.377 Å, c = 6.868 Å
α = 90.00°, β = 90.00°, γ = 90.00°
Space group I4/m (No. 87)
Symmetry-distinct sites (fractional):
Ga  0.000  0.500  0.250 (multiplicity 4)
Bi  0.000  0.000  0.000 (multiplicity 2)
Te  0.167  0.681  0.500 (multiplicity 8)

---

15.
# Ga2Bi2Te

Crystalline Ga2Bi2Te at its relaxed geometry (PBE, the Alexandria database).

## Properties
* D(E_F): 6.52 states/eV/cell
* energy above the lowest structure with this stoichiometry: 90.9 meV per atom
* volume: 282.5 Å³ per cell
* E_tot: -3.244 eV per atom

a = 5.029 Å, b = 5.029 Å, c = 11.170 Å
α = 90.00°, β = 90.00°, γ = 90.00°
Space group I4/mmm (No. 139)
Symmetry-distinct sites (fractional):
Ga  0.000  0.000  0.110 (multiplicity 4)
Bi  0.000  0.500  0.250 (multiplicity 4)
Te  0.000  0.000  0.500 (multiplicity 2)

---

16.
# Ga12Bi3Te5

Crystalline Ga12Bi3Te5 at its relaxed geometry (PBE, the Alexandria database).

## Properties
* D(E_F): 74.53 states/eV/cell
* volume: 5118.7 Å³ per cell
* E_tot: -3.158 eV per atom

a = 17.234 Å, b = 17.234 Å, c = 17.234 Å
α = 90.00°, β = 90.00°, γ = 90.00°
Space group Ia-3d (No. 230)
Symmetry-distinct sites (fractional):
Ga  0.008  0.071  0.657 (multiplicity 96)
Bi  0.000  0.250  0.125 (multiplicity 24)
Te  0.000  0.000  0.000 (multiplicity 16)
Te  0.000  0.250  0.375 (multiplicity 24)

---

17.
# GaBi3Te

Crystalline GaBi3Te at its relaxed geometry (PBE, the Alexandria database).

## Properties
* D(E_F): 9.47 states/eV/cell
* energy above the lowest structure with this stoichiometry: 229.9 meV per atom
* volume: 208.3 Å³ per cell
* E_tot: -2.845 eV per atom

a = 5.928 Å, b = 5.928 Å, c = 5.928 Å
α = 90.00°, β = 90.00°, γ = 90.00°
Space group Pm-3m (No. 221)
Symmetry-distinct sites (fractional):
Ga  0.000  0.000  0.000 (multiplicity 1)
Bi  0.000  0.500  0.500 (multiplicity 3)
Te  0.500  0.500  0.500 (multiplicity 1)

---

18.
# GaBi2Te5

Crystalline GaBi2Te5 at its relaxed geometry (PBE, the Alexandria database).

## Properties
* D(E_F): 20.11 states/eV/cell
* volume: 1194.7 Å³ per cell
* E_tot: -3.355 eV per atom

a = 6.316 Å, b = 14.953 Å, c = 12.651 Å
α = 90.00°, β = 90.00°, γ = 90.00°
Space group Cmcm (No. 63)
Symmetry-distinct sites (fractional):
Ga  0.000  0.198  0.250 (multiplicity 4)
Bi  0.000  0.174  0.571 (multiplicity 8)
Te  0.000  0.037  0.121 (multiplicity 8)
Te  0.000  0.312  0.750 (multiplicity 4)
Te  0.000  0.327  0.089 (multiplicity 8)

---

19.
# GaBi2Te

Crystalline GaBi2Te at its relaxed geometry (PBE, the Alexandria database).

## Properties
* D(E_F): 8.67 states/eV/cell
* energy above the lowest structure with this stoichiometry: 37.1 meV per atom
* volume: 644.1 Å³ per cell
* E_tot: -3.280 eV per atom

a = 6.555 Å, b = 6.555 Å, c = 14.989 Å
α = 90.00°, β = 90.00°, γ = 90.00°
Space group I-42d (No. 122)
Symmetry-distinct sites (fractional):
Ga  0.000  0.000  0.000 (multiplicity 4)
Bi  0.212  0.250  0.125 (multiplicity 8)
Te  0.000  0.000  0.500 (multiplicity 4)

---

20.
# Ga4BiTe

Crystalline Ga4BiTe at its relaxed geometry (PBE, the Alexandria database).

## Properties
* D(E_F): 12.18 states/eV/cell
* volume: 563.9 Å³ per cell
* E_tot: -3.108 eV per atom

a = 8.262 Å, b = 8.262 Å, c = 8.262 Å
α = 90.00°, β = 90.00°, γ = 90.00°
Space group F-43m (No. 216)
Symmetry-distinct sites (fractional):
Ga  0.124  0.124  0.124 (multiplicity 16)
Bi  0.000  0.000  0.500 (multiplicity 4)
Te  0.250  0.250  0.750 (multiplicity 4)